First-principles (GGA-PBE) data for a relaxed HfTl2Te2S6 crystal, as listed in Alexandria via LeMat-Bulk.

Results
The energy relative to the elements, uncorrected comes out at -0.391 eV per atom. As for the raw total energy: -4.55 eV per atom.

Lattice parameters (Å, degrees): 6.9663 8.2187 7.5021 118.79 90.00 115.08
Closest atoms and distances in Å follow each position.
Positions (direct):
Hf  0.5000  0.0000  0.5000  6 S 2.43-2.60
Tl  0.7303  0.4606  0.2378  5 S 3.05-3.33
Tl  0.2697  0.5394  0.7622  5 S 3.05-3.33
Te  0.9719  0.9438  0.7752  2 S 2.39
Te  0.0281  0.0562  0.2248  2 S 2.39
S  0.6823  0.3647  0.5858  1 Hf 2.43
S  0.1583  0.8212  0.2000  1 Te 2.39, 1 Hf 2.60
S  0.3371  0.1788  0.8000  1 Te 2.39, 1 Hf 2.60
S  0.8417  0.1788  0.8000  1 Te 2.39, 1 Hf 2.60
S  0.6629  0.8212  0.2000  1 Te 2.39, 1 Hf 2.60
S  0.3177  0.6353  0.4142  1 Hf 2.43

First-principles (GGA-PBE) data for a relaxed K3Y crystal, as listed in Alexandria via LeMat-Bulk.

Results
As for the raw total energy: -1.89 eV per atom.

Lattice parameters (Å, degrees): 8.5572 8.5572 14.0339 90.00 90.00 120.00
Closest atoms and distances in Å follow each position.
Positions (direct):
Y  0.0000  0.0000  0.0000  12 K 4.24-4.28
Y  0.0000  0.0000  0.5000  12 K 4.24-4.28
Y  0.3333  0.6667  0.2500  12 K 4.28-4.29
Y  0.6667  0.3333  0.7500  12 K 4.28-4.29
K  0.5000  0.0000  0.0000  8 K 4.28-4.32, 4 Y 4.28-4.29
K  0.5000  0.0000  0.5000  8 K 4.28-4.32, 4 Y 4.28-4.29
K  0.0000  0.5000  0.0000  4 Y 4.28-4.29, 8 K 4.28-4.32
K  0.5000  0.5000  0.0000  8 K 4.28-4.32, 4 Y 4.28-4.29
K  0.5000  0.5000  0.5000  8 K 4.28-4.32, 4 Y 4.28-4.29
K  0.0000  0.5000  0.5000  4 Y 4.28-4.29, 8 K 4.28-4.32
K  0.8392  0.6784  0.2500  8 K 4.13-4.43, 4 Y 4.24-4.28
K  0.1608  0.3216  0.7500  8 K 4.13-4.43, 4 Y 4.24-4.28
K  0.3216  0.1608  0.2500  8 K 4.13-4.43, 4 Y 4.24-4.28
K  0.8392  0.1608  0.2500  8 K 4.13-4.43, 4 Y 4.24-4.28
K  0.1608  0.8392  0.7500  8 K 4.13-4.43, 4 Y 4.24-4.28
K  0.6784  0.8392  0.7500  8 K 4.13-4.43, 4 Y 4.24-4.28

First-principles (GGA-PBE) data for a relaxed Li2GeSb2Te5 crystal, as listed in Alexandria via LeMat-Bulk.

Results
The energy relative to the elements, uncorrected comes out at -0.333 eV per atom. As for the raw total energy: -3.57 eV per atom.

Lattice parameters (Å, degrees): 18.3417 18.3417 18.3417 13.58 13.58 13.58
Closest atoms and distances in Å follow each position.
Positions (direct):
Sb  0.1956  0.1956  0.1956  6 Te 3.03-3.21
Sb  0.6020  0.6020  0.6020  6 Te 3.04-3.18
Ge  0.0068  0.0068  0.0068  3 Te 2.87
Te  0.3002  0.3002  0.3002  3 Sb 3.04, 3 Ge 3.31
Te  0.4975  0.4975  0.4975  3 Sb 3.03
Te  0.8992  0.8992  0.8992  6 Sb 3.18-3.21
Te  0.6991  0.6991  0.6991  3 Ge 2.87
Te  0.1007  0.1007  0.1007  6 Li 2.68-2.73
Li  0.4140  0.4140  0.4140  3 Te 2.73
Li  0.7847  0.7847  0.7847  3 Te 2.68

First-principles (GGA-PBE) data for a relaxed TcTe2As crystal, as listed in Alexandria via LeMat-Bulk.

Results
The energy relative to the elements, uncorrected comes out at 0.688 eV per atom. As for the raw total energy: -4.64 eV per atom.

Lattice parameters (Å, degrees): 4.8919 4.8919 4.8919 60.00 60.00 60.00
Closest atoms and distances in Å follow each position.
Positions (direct):
As  0.5000  0.5000  0.5000  4 Tc 3.00, 4 Te 3.00
Te  0.0000  0.0000  0.0000  4 Te 3.00, 4 Tc 3.00
Te  0.2500  0.2500  0.2500  4 Te 3.00, 4 As 3.00
Tc  0.7500  0.7500  0.7500  4 As 3.00, 4 Te 3.00

First-principles (GGA-PBE) data for a relaxed KAgBi2Se4 crystal, as listed in Alexandria via LeMat-Bulk.

Results
The energy relative to the elements, uncorrected comes out at -0.508 eV per atom. As for the raw total energy: -3.71 eV per atom.

Lattice parameters (Å, degrees): 4.3117 7.4266 15.3137 90.00 90.00 106.87
Closest atoms and distances in Å follow each position.
Positions (direct):
K  0.1190  0.2380  0.7500  6 Se 3.26-3.48
K  0.8810  0.7620  0.2500  6 Se 3.26-3.48
Ag  0.8452  0.6904  0.7500  4 Se 2.60-2.74
Ag  0.1548  0.3096  0.2500  4 Se 2.60-2.74
Bi  0.3672  0.7343  0.5644  6 Se 2.96-3.06
Bi  0.6328  0.2657  0.0644  6 Se 2.96-3.06
Bi  0.6328  0.2657  0.4356  6 Se 2.96-3.06
Bi  0.3672  0.7343  0.9356  6 Se 2.96-3.06
Se  0.2686  0.5371  0.1058  1 Ag 2.74, 3 Bi 2.96
Se  0.7314  0.4629  0.6058  1 Ag 2.74, 3 Bi 2.96
Se  0.7314  0.4629  0.8942  1 Ag 2.74, 3 Bi 2.96
Se  0.2686  0.5371  0.3942  1 Ag 2.74, 3 Bi 2.96
Se  0.0000  0.0000  0.5000  4 Bi 3.03
Se  0.0000  0.0000  0.0000  4 Bi 3.03
Se  0.4470  0.8939  0.7500  2 Ag 2.60
Se  0.5530  0.1061  0.2500  2 Ag 2.60

First-principles (GGA-PBE) data for a relaxed LaTbPmTm3 crystal, as listed in Alexandria via LeMat-Bulk.

Results
As for the raw total energy: -4.51 eV per atom.

Lattice parameters (Å, degrees): 5.8289 6.4481 11.6619 90.00 90.00 116.87
Closest atoms and distances in Å follow each position.
Positions (direct):
La  0.5064  0.0128  0.7500  7 Tm 3.46-3.88, 3 Tb 3.59-3.65
La  0.4936  0.9872  0.2500  7 Tm 3.46-3.88, 3 Tb 3.59-3.65
Tb  0.8241  0.6481  0.7500  4 Tm 3.42-3.43, 2 Pm 3.55, 3 La 3.59-3.65
Tb  0.1759  0.3519  0.2500  4 Tm 3.42-3.43, 2 Pm 3.55, 3 La 3.59-3.65
Pm  0.0000  0.0000  0.5000  8 Tm 3.51-3.74, 2 Tb 3.55
Pm  0.0000  0.0000  0.0000  8 Tm 3.51-3.74, 2 Tb 3.55
Tm  0.6750  0.3501  0.4948  3 Tm 3.37-3.39, 1 Tb 3.43, 2 La 3.54-3.55, 3 Pm 3.54-3.74
Tm  0.3250  0.6499  0.5052  3 Tm 3.37-3.39, 1 Tb 3.43, 2 La 3.54-3.55, 3 Pm 3.54-3.74
Tm  0.3250  0.6499  0.9948  3 Tm 3.37-3.39, 1 Tb 3.43, 2 La 3.54-3.55, 3 Pm 3.54-3.74
Tm  0.6750  0.3501  0.0052  3 Tm 3.37-3.39, 1 Tb 3.43, 2 La 3.54-3.55, 3 Pm 3.54-3.74
Tm  0.1693  0.3385  0.7500  2 Tm 3.37, 2 Tb 3.42, 2 La 3.46, 2 Pm 3.51
Tm  0.8307  0.6615  0.2500  2 Tm 3.37, 2 Tb 3.42, 2 La 3.46, 2 Pm 3.51

First-principles (GGA-PBE) data for a relaxed Ba2NaZnGa crystal, as listed in Alexandria via LeMat-Bulk.

Results
As for the energy relative to the lowest polymorph listed for this composition: 0 meV per atom. As for the raw total energy: -1.98 eV per atom.

Lattice parameters (Å, degrees): 6.5311 6.5311 4.6929 90.00 90.00 90.00
Closest atoms and distances in Å follow each position.
Positions (direct):
Na  0.5000  0.5000  0.5000  8 Ba 4.02
Zn  0.0000  0.0000  0.0000  2 Ga 2.35
Ba  0.0000  0.5000  0.0000  2 Zn 3.27
Ba  0.5000  0.0000  0.0000  2 Zn 3.27
Ga  0.0000  0.0000  0.5000  2 Zn 2.35

First-principles (GGA-PBE) data for a relaxed Ho3ThMg4 crystal, as listed in Alexandria via LeMat-Bulk.

Results
As for the raw total energy: -3.47 eV per atom.

Lattice parameters (Å, degrees): 3.7993 5.3613 10.7035 90.00 90.00 90.00
Closest atoms and distances in Å follow each position.
Positions (direct):
Mg  0.0000  0.0000  0.5000  8 Ho 3.29-3.30
Mg  0.0000  0.5000  0.7438  6 Ho 3.23-3.29, 2 Th 3.34
Mg  0.0000  0.0000  0.0000  4 Ho 3.26, 4 Th 3.29
Mg  0.0000  0.5000  0.2562  6 Ho 3.23-3.29, 2 Th 3.34
Ho  0.5000  0.0000  0.2476  8 Mg 3.26-3.30
Ho  0.5000  0.5000  0.5000  8 Mg 3.23-3.29
Ho  0.5000  0.0000  0.7524  8 Mg 3.26-3.30
Th  0.5000  0.5000  0.0000  8 Mg 3.29-3.34

First-principles (GGA-PBE) data for a relaxed ScTaTiNi2 crystal, as listed in Alexandria via LeMat-Bulk.

Results
As for the raw total energy: -6.84 eV per atom.

Lattice parameters (Å, degrees): 4.4287 4.6536 4.4287 90.00 90.00 90.00
Closest atoms and distances in Å follow each position.
Positions (direct):
Sc  0.5000  0.5000  0.5000  4 Ta 3.13, 8 Ni 3.21
Ni  0.0000  0.0000  0.5000  2 Ti 2.21
Ni  0.5000  0.0000  0.0000  2 Ti 2.21
Ti  0.0000  0.0000  0.0000  4 Ni 2.21, 2 Ta 2.33
Ta  0.0000  0.5000  0.0000  2 Ti 2.33